P) DFT (PBE-GGA) results for a relaxed structure of PmSm4Sc.

V = 193.0 Å³/f.u.
SG = C2/m
Total moment = 0.00 Bohr magnetons per cell

a b c (Å): 6.1900 6.1900 6.1738
angles (deg): 99.60 99.60 120.06
Atoms (fractional coordinates):
Pm1 0.0000 0.0000 0.0000
Sm1 0.1670 0.8330 0.5000
Sm2 0.3365 0.6635 0.0000
Sm3 0.6635 0.3365 0.0000
Sm4 0.8330 0.1670 0.5000
Sc1 0.5000 0.5000 0.5000

---

Q) DFT (PBE-GGA) results for a relaxed structure of PmSm4Sc.

V = 193.0 Å³/f.u.
SG = P2_1/m
Total moment = 0.00 Bohr magnetons per cell

a b c (Å): 5.6257 7.0032 9.7999
angles (deg): 90.00 90.01 90.00
Atoms (fractional coordinates):
Pm1 0.2453 0.2500 0.0903
Pm2 0.7547 0.7500 0.9097
Sm1 0.2466 0.7500 0.4210
Sm2 0.2506 0.5013 0.7398
Sm3 0.2506 0.9987 0.7398
Sm4 0.2545 0.7500 0.0821
Sm5 0.7455 0.2500 0.9179
Sm6 0.7494 0.0013 0.2602
Sm7 0.7494 0.4987 0.2602
Sm8 0.7534 0.2500 0.5790
Sc1 0.2532 0.2500 0.4167
Sc2 0.7468 0.7500 0.5833

---

Which of them is most stable, and which least? Most stable: P); least stable: Q).

---

P) DFT (PBE-GGA) results for a relaxed structure of PmSm6Sc3.

V = 312.2 Å³/f.u.
SG = Cmc2_1
Total moment = 0.00 Bohr magnetons per cell

a b c (Å): 11.4642 11.4642 6.2110
angles (deg): 90.00 90.00 130.11
Atoms (fractional coordinates):
Pm1 0.2349 0.7651 0.5000
Pm2 0.7651 0.2349 0.0000
Sm1 0.0027 0.3943 0.5742
Sm2 0.0474 0.9526 0.0683
Sm3 0.2999 0.3484 0.7450
Sm4 0.3345 0.6655 0.9296
Sm5 0.3484 0.2999 0.2450
Sm6 0.3943 0.0027 0.0741
Sm7 0.6057 0.9973 0.5742
Sm8 0.6516 0.7001 0.7450
Sm9 0.6655 0.3345 0.4296
Sm10 0.7001 0.6516 0.2450
Sm11 0.9526 0.0474 0.5683
Sm12 0.9973 0.6057 0.0741
Sc1 0.0662 0.2912 0.1147
Sc2 0.2912 0.0662 0.6147
Sc3 0.3892 0.6108 0.3969
Sc4 0.6108 0.3892 0.8969
Sc5 0.7088 0.9338 0.1147
Sc6 0.9338 0.7088 0.6147

---

Q) DFT (PBE-GGA) results for a relaxed structure of PmSm6Sc3.

V = 315.5 Å³/f.u.
SG = R32
Total moment = 0.77 Bohr magnetons per cell

a b c (Å): 6.8091 6.8091 6.8091
angles (deg): 91.30 91.30 91.30
Atoms (fractional coordinates):
Pm1 0.0000 0.0000 0.0000
Sm1 0.0000 0.3379 0.6621
Sm2 0.1665 0.8335 0.5000
Sm3 0.3379 0.6621 0.0000
Sm4 0.5000 0.1665 0.8335
Sm5 0.6621 0.0000 0.3379
Sm6 0.8335 0.5000 0.1665
Sc1 0.2601 0.2601 0.2601
Sc2 0.5000 0.5000 0.5000
Sc3 0.7399 0.7399 0.7399

---

Which of them is most stable, and which least? Most stable: P); least stable: Q).

---

P) DFT (PBE-GGA) results for a relaxed structure of Pm6Sm8Sc.

V = 508.6 Å³/f.u.
SG = R-3
Total moment = 0.00 Bohr magnetons per cell

a b c (Å): 8.7432 8.7432 8.7432
angles (deg): 63.45 63.45 63.45
Atoms (fractional coordinates):
Pm1 0.0420 0.5998 0.7343
Pm2 0.2657 0.9580 0.4002
Pm3 0.4002 0.2657 0.9580
Pm4 0.5998 0.7343 0.0420
Pm5 0.7343 0.0420 0.5998
Pm6 0.9580 0.4002 0.2657
Sm1 0.0778 0.0778 0.0778
Sm2 0.2194 0.6123 0.2520
Sm3 0.2520 0.2194 0.6123
Sm4 0.3877 0.7480 0.7806
Sm5 0.6123 0.2520 0.2194
Sm6 0.7480 0.7806 0.3877
Sm7 0.7806 0.3877 0.7480
Sm8 0.9222 0.9222 0.9222
Sc1 0.5000 0.5000 0.5000

---

Q) DFT (PBE-GGA) results for a relaxed structure of Pm6Sm8Sc.

V = 502.5 Å³/f.u.
SG = R-3
Total moment = 0.00 Bohr magnetons per cell

a b c (Å): 8.2403 8.2403 8.2403
angles (deg): 73.63 73.63 73.63
Atoms (fractional coordinates):
Pm1 0.0760 0.2810 0.6169
Pm2 0.2810 0.6169 0.0760
Pm3 0.3831 0.9240 0.7190
Pm4 0.6169 0.0760 0.2810
Pm5 0.7190 0.3831 0.9240
Pm6 0.9240 0.7190 0.3831
Sm1 0.0700 0.6487 0.7710
Sm2 0.2290 0.9300 0.3513
Sm3 0.3513 0.2290 0.9300
Sm4 0.4125 0.4125 0.4125
Sm5 0.5875 0.5875 0.5875
Sm6 0.6487 0.7711 0.0700
Sm7 0.7711 0.0700 0.6487
Sm8 0.9300 0.3513 0.2289
Sc1 0.0000 0.0000 0.0000

---

Which of them is most stable, and which least? Most stable: P); least stable: Q).